# 1
# ErTm2Cu2, relaxed, DFT PBE
data_ErTm2Cu2
_cell_length_a 3.4395
_cell_length_b 4.9925
_cell_length_c 12.9213
_cell_angle_alpha 90.00
_cell_angle_beta 97.63
_cell_angle_gamma 90.00
_symmetry_space_group_name_H-M 'P 1'
_symmetry_Int_Tables_number 1
loop_
_symmetry_equiv_pos_as_xyz
'x,y,z'
loop_
_atom_site_label
_atom_site_type_symbol
_atom_site_fract_x
_atom_site_fract_y
_atom_site_fract_z
Er1 Er 0.1418 0.2500 0.2828
Er2 Er 0.8582 0.7500 0.7172
Tm1 Tm 0.0466 0.7500 0.0930
Tm2 Tm 0.2296 0.7500 0.4588
Tm3 Tm 0.7704 0.2500 0.5412
Tm4 Tm 0.9534 0.2500 0.9070
Cu1 Cu 0.3605 0.2500 0.7212
Cu2 Cu 0.4556 0.7500 0.9088
Cu3 Cu 0.5444 0.2500 0.0912
Cu4 Cu 0.6395 0.7500 0.2788
# - formation energy from the elements (eV/atom) = -0.1970
# - energy above the lowest structure with this stoichiometry (kJ per mole of atoms) = 0.00

---

# 2
# Er2TmCu, relaxed, DFT PBE
data_Er2TmCu
_cell_length_a 10.0032
_cell_length_b 10.0032
_cell_length_c 10.0032
_cell_angle_alpha 20.33
_cell_angle_beta 20.33
_cell_angle_gamma 20.33
_symmetry_space_group_name_H-M 'P 1'
_symmetry_Int_Tables_number 1
loop_
_symmetry_equiv_pos_as_xyz
'x,y,z'
loop_
_atom_site_label
_atom_site_type_symbol
_atom_site_fract_x
_atom_site_fract_y
_atom_site_fract_z
Er1 Er 0.2357 0.2357 0.2357
Er2 Er 0.7643 0.7643 0.7643
Tm1 Tm 0.0000 0.0000 0.0000
Cu1 Cu 0.5000 0.5000 0.5000
# - formation energy from the elements (eV/atom) = 0.0285
# - energy above the lowest structure with this stoichiometry (kJ per mole of atoms) = 14.63

---

# 3
# ErTm2Cu4, relaxed, DFT PBE
data_ErTm2Cu4
_cell_length_a 6.7289
_cell_length_b 6.7289
_cell_length_c 6.7289
_cell_angle_alpha 136.16
_cell_angle_beta 136.16
_cell_angle_gamma 63.73
_symmetry_space_group_name_H-M 'P 1'
_symmetry_Int_Tables_number 1
loop_
_symmetry_equiv_pos_as_xyz
'x,y,z'
loop_
_atom_site_label
_atom_site_type_symbol
_atom_site_fract_x
_atom_site_fract_y
_atom_site_fract_z
Er1 Er 0.0000 0.0000 0.0000
Tm1 Tm 0.2843 0.2843 0.0000
Tm2 Tm 0.7157 0.7157 0.0000
Cu1 Cu 0.1197 0.6197 0.5000
Cu2 Cu 0.3803 0.8803 0.5000
Cu3 Cu 0.6197 0.1197 0.5000
Cu4 Cu 0.8803 0.3803 0.5000
# - formation energy from the elements (eV/atom) = -0.0303

---

# 4
# Er3Tm3Cu4, relaxed, DFT PBE
data_Er3Tm3Cu4
_cell_length_a 3.7102
_cell_length_b 7.7836
_cell_length_c 7.7836
_cell_angle_alpha 89.72
_cell_angle_beta 90.00
_cell_angle_gamma 90.00
_symmetry_space_group_name_H-M 'P 1'
_symmetry_Int_Tables_number 1
loop_
_symmetry_equiv_pos_as_xyz
'x,y,z'
loop_
_atom_site_label
_atom_site_type_symbol
_atom_site_fract_x
_atom_site_fract_y
_atom_site_fract_z
Er1 Er 0.0000 0.0000 0.0000
Er2 Er 0.5000 0.3379 0.8387
Er3 Er 0.5000 0.8387 0.3379
Tm1 Tm 0.0000 0.1750 0.5020
Tm2 Tm 0.0000 0.5020 0.1750
Tm3 Tm 0.0000 0.6732 0.6732
Cu1 Cu 0.5000 0.2148 0.2148
Cu2 Cu 0.5000 0.4612 0.4612
Cu3 Cu 0.5000 0.7128 0.9601
Cu4 Cu 0.5000 0.9601 0.7128
# - formation energy from the elements (eV/atom) = -0.1805

---

# 5
# Er5Tm2Cu4, relaxed, DFT PBE
data_Er5Tm2Cu4
_cell_length_a 12.4220
_cell_length_b 12.4220
_cell_length_c 6.6108
_cell_angle_alpha 100.83
_cell_angle_beta 100.83
_cell_angle_gamma 16.17
_symmetry_space_group_name_H-M 'P 1'
_symmetry_Int_Tables_number 1
loop_
_symmetry_equiv_pos_as_xyz
'x,y,z'
loop_
_atom_site_label
_atom_site_type_symbol
_atom_site_fract_x
_atom_site_fract_y
_atom_site_fract_z
Er1 Er 0.0000 0.0000 0.0000
Er2 Er 0.2636 0.2636 0.2646
Er3 Er 0.3668 0.3668 0.7537
Er4 Er 0.6332 0.6332 0.2463
Er5 Er 0.7364 0.7364 0.7354
Tm1 Tm 0.4068 0.4068 0.2760
Tm2 Tm 0.5932 0.5932 0.7240
Cu1 Cu 0.1670 0.1670 0.9527
Cu2 Cu 0.4760 0.4760 0.6559
Cu3 Cu 0.5240 0.5240 0.3441
Cu4 Cu 0.8330 0.8330 0.0473
# - formation energy from the elements (eV/atom) = 0.0202

---

# 6
# ErTm3Cu2, relaxed, DFT PBE
data_ErTm3Cu2
_cell_length_a 8.2225
_cell_length_b 8.2225
_cell_length_c 8.2225
_cell_angle_alpha 131.95
_cell_angle_beta 72.50
_cell_angle_gamma 129.21
_symmetry_space_group_name_H-M 'P 1'
_symmetry_Int_Tables_number 1
loop_
_symmetry_equiv_pos_as_xyz
'x,y,z'
loop_
_atom_site_label
_atom_site_type_symbol
_atom_site_fract_x
_atom_site_fract_y
_atom_site_fract_z
Er1 Er 0.0000 0.0000 0.0000
Er2 Er 0.5000 0.5000 0.0000
Tm1 Tm 0.0161 0.2500 0.7661
Tm2 Tm 0.2500 0.7500 0.5000
Tm3 Tm 0.4839 0.2500 0.2339
Tm4 Tm 0.5161 0.7500 0.7661
Tm5 Tm 0.7500 0.2500 0.5000
Tm6 Tm 0.9839 0.7500 0.2339
Cu1 Cu 0.1417 0.7079 0.8496
Cu2 Cu 0.3583 0.2079 0.5663
Cu3 Cu 0.6417 0.7921 0.4337
Cu4 Cu 0.8583 0.2921 0.1504
# - formation energy from the elements (eV/atom) = -0.0056
# - energy above the lowest structure with this stoichiometry (kJ per mole of atoms) = 17.68

---

# 7
# Er2Tm2Cu3, relaxed, DFT PBE
data_Er2Tm2Cu3
_cell_length_a 4.8172
_cell_length_b 4.8172
_cell_length_c 8.3657
_cell_angle_alpha 106.96
_cell_angle_beta 106.96
_cell_angle_gamma 59.86
_symmetry_space_group_name_H-M 'P 1'
_symmetry_Int_Tables_number 1
loop_
_symmetry_equiv_pos_as_xyz
'x,y,z'
loop_
_atom_site_label
_atom_site_type_symbol
_atom_site_fract_x
_atom_site_fract_y
_atom_site_fract_z
Er1 Er 0.1243 0.1243 0.3759
Er2 Er 0.8757 0.8757 0.6241
Tm1 Tm 0.3748 0.3748 0.1266
Tm2 Tm 0.6252 0.6252 0.8734
Cu1 Cu 0.0000 0.0000 0.0000
Cu2 Cu 0.2508 0.2508 0.7515
Cu3 Cu 0.7492 0.7492 0.2485
# - formation energy from the elements (eV/atom) = -0.1597

---

# 8
# ErTm4Cu5, relaxed, DFT PBE
data_ErTm4Cu5
_cell_length_a 3.3976
_cell_length_b 3.3976
_cell_length_c 17.3024
_cell_angle_alpha 90.00
_cell_angle_beta 90.00
_cell_angle_gamma 90.00
_symmetry_space_group_name_H-M 'P 1'
_symmetry_Int_Tables_number 1
loop_
_symmetry_equiv_pos_as_xyz
'x,y,z'
loop_
_atom_site_label
_atom_site_type_symbol
_atom_site_fract_x
_atom_site_fract_y
_atom_site_fract_z
Er1 Er 0.0000 0.0000 0.0000
Tm1 Tm 0.0000 0.0000 0.2006
Tm2 Tm 0.0000 0.0000 0.4002
Tm3 Tm 0.0000 0.0000 0.5998
Tm4 Tm 0.0000 0.0000 0.7994
Cu1 Cu 0.5000 0.5000 0.1012
Cu2 Cu 0.5000 0.5000 0.3004
Cu3 Cu 0.5000 0.5000 0.5000
Cu4 Cu 0.5000 0.5000 0.6996
Cu5 Cu 0.5000 0.5000 0.8988
# - formation energy from the elements (eV/atom) = -0.2928